LaPrZnFe after structural relaxation. Source: Alexandria, functional PBE.

abc: 7.3023 7.3023 7.3023
angles: 90.00 90.00 90.00
Last column: nearest neighbours and their distance in Å.
Space group F-43m (No. 216)
Unique sites:
La1 0.0000 0.0000 0.0000  4 Fe 3.16, 4 Zn 3.16
Pr1 0.0000 0.0000 0.5000  4 Fe 3.16, 4 Zn 3.16
Zn1 0.2500 0.2500 0.7500  4 La 3.16, 4 Pr 3.16
Fe1 0.2500 0.2500 0.2500  4 La 3.16, 4 Pr 3.16

Values from the calculation:
Mass density (g cm⁻³): 6.841
Formation enthalpy at 0 K (eV/atom): 0.04